<one>
# VGe2F

A relaxed structure of VGe2F (GGA+U, Alexandria via LeMat-Bulk).

Properties
**Space-group type**: I-42d (122)
**Crystal system**: tetragonal

abc: 6.620 6.620 6.620
angles: 95.43 95.43 144.18
Fractional positions:
V1 0.000 0.000 0.000
V2 0.750 0.250 0.500
Ge1 0.203 0.625 0.078
Ge2 0.375 0.453 0.578
Ge3 0.547 0.125 0.922
Ge4 0.875 0.797 0.422
F1 0.250 0.750 0.500
F2 0.500 0.500 0.000

***

<two>
# VGe2F

A relaxed structure of VGe2F (GGA+U, Alexandria via LeMat-Bulk).

Properties
**Space-group type**: Fm-3m (225)
**Crystal system**: cubic

abc: 4.530 4.530 4.530
angles: 60.00 60.00 60.00
Fractional positions:
V1 0.000 0.000 0.000
Ge1 0.250 0.250 0.250
Ge2 0.750 0.750 0.750
F1 0.500 0.500 0.500

***

Energies in meV per atom, measured from the most stable structure: <one> 0; <two> 353.